# Na2PWO6

A relaxed Na2PWO6 crystal (PBE with a Hubbard U, the Alexandria database).

Calculated values
* total DFT energy (no corrections): -6.35 eV per atom
* size of the total moment: 1.0 μB per cell
* crystal system: tetragonal

Cell lengths 5.110, 5.110, 4.133 Å; angles 90.00, 90.00, 90.00 degrees
Atoms (fractional coordinates):
1 Na 0.000 0.500 0.000
2 Na 0.500 0.000 0.000
3 P 0.000 0.000 0.456
4 W 0.500 0.500 0.535
5 O 0.000 0.000 0.087
6 O 0.226 0.226 0.551
7 O 0.226 0.774 0.551
8 O 0.500 0.500 0.041
9 O 0.774 0.226 0.551
10 O 0.774 0.774 0.551